A plane-wave DFT calculation with PBE-GGA was carried out for a relaxed structure of CsRb2LiAu.

Cell and atoms, written as POSCAR:
```
CsRb2LiAu
1.0
-5.6514 -2.2180 3.4875
4.0726 -3.9948 4.0589
0.5571 4.1977 3.5724
Rb Li Au Cs
2 1 1 1
direct
0.0000 0.5000 0.0000
0.5000 0.0000 0.0000
0.0000 0.0000 0.5000
0.0000 0.0000 0.0000
0.5000 0.5000 0.5000
```

## Properties
formation energy from the elements	-0.05	eV/atom
DOS at the Fermi energy	4.51	states/eV per cell
theoretical density	3.1	Mg/m³
space-group type	P4/mmm